Material: TiMnW
Method: DFT, PBE-GGA
State: optimized geometry

Total magnetization ... 0.00 μB/f.u.
ΔE_f ... -0.147 eV/atom
Symmetry ... I4mm

abc: 3.013 3.013 5.171
angles: 106.94 106.94 90.00
Fractional positions:
Mn1 0.669 0.669 0.339
W1 0.323 0.323 0.645
Ti1 0.008 0.008 0.016